The following is a DFT calculation (GGA-PBE) of LaPRu after structural relaxation.

a b c (Å): 4.6298 4.6298 5.5888
angles (deg): 90.00 90.00 90.00
Last column: nearest neighbours and their distance in Å.
Fractional coordinates of all 6 atoms:
La 0.2500 0.2500 0.1534  2 Ru 2.68-2.91
La 0.7500 0.7500 0.8466  2 Ru 2.68-2.91
P 0.2500 0.7500 0.5000  4 Ru 2.51
P 0.7500 0.2500 0.5000  4 Ru 2.51
Ru 0.2500 0.2500 0.6736  4 P 2.51, 1 La 2.68
Ru 0.7500 0.7500 0.3264  4 P 2.51, 1 La 2.68

Energy of formation from the pure elements: -72.43 kJ per mole of atoms
Calculated total energy: -43.7 eV/cell
N(E_F): 0.69 states/eV/f.u.